# NdSmAu GGA-PBE relaxed
# Uncorrected energy = -42.7 eV per cell
# SG = P-62m (189)
# DFT formation energy = -0.4948 eV per atom
data_NdSmAu
_chemical_formula_sum 'Nd3 Sm3 Au3'
_space_group_name_H-M_alt 'P 1'
_space_group_IT_number 1
_cell_length_a 7.8138
_cell_length_b 7.8138
_cell_length_c 4.9295
_cell_angle_alpha 90.00
_cell_angle_beta 90.00
_cell_angle_gamma 120.00
loop_
_space_group_symop_operation_xyz
'x,y,z'
loop_
_atom_site_label
_atom_site_type_symbol
_atom_site_fract_x
_atom_site_fract_y
_atom_site_fract_z
Nd1 Nd 0.0000 0.7367 0.0000
Nd2 Nd 0.2633 0.2633 0.0000
Nd3 Nd 0.7367 0.0000 0.0000
Sm1 Sm 0.0000 0.4057 0.5000
Sm2 Sm 0.4057 0.0000 0.5000
Sm3 Sm 0.5943 0.5943 0.5000
Au1 Au 0.0000 0.0000 0.5000
Au2 Au 0.3333 0.6667 0.0000
Au3 Au 0.6667 0.3333 0.0000